1.
Material: Pr3P4Pd4
Method: DFT, PBE
State: optimized geometry

extended XYZ file:
```
11
Lattice="4.233 0.000 0.000 0.000 6.999 0.000 -2.116 -3.499 6.978" Properties=species:S:1:pos:R:3 pbc="T T T"
Pr 0.000 0.000 1.808
Pr 2.116 3.499 5.170
Pr 0.000 3.499 0.000
P 0.000 3.499 3.005
P 2.116 0.000 3.973
P 2.116 5.715 0.000
P 2.116 1.284 0.000
Pd 0.000 -1.376 4.631
Pd 2.116 2.124 2.347
Pd 2.116 4.875 2.347
Pd 0.000 1.376 4.631
```

Calculated values
E_tot = -6.2084 eV per atom
ΔE_f = -11.54 eV/f.u.
Polymorph energy (0 for the lowest one) = 59 meV per atom
SG = Immm, No. 71
Calculated volume = 18.793 Å³ per atom



2.
Material: Pr2P2Pd3
Method: DFT, PBE
State: optimized geometry

extended XYZ file:
```
7
Lattice="4.064 0.000 0.000 -2.032 5.140 -0.235 0.000 -2.657 6.555" Properties=species:S:1:pos:R:3 pbc="T T T"
Pr 2.032 3.154 1.338
Pr 0.000 -0.671 4.982
P 2.032 1.488 4.966
P 0.000 0.995 1.354
Pd 2.032 0.000 0.000
Pd 2.032 0.189 2.793
Pd 0.000 2.294 3.527
```

Calculated values
E_tot = -6.0790 eV per atom
ΔE_f = -6.60 eV/f.u.
SG = C2/m, No. 12
Calculated volume = 19.197 Å³ per atom



3.
Material: PrPPd2
Method: DFT, PBE
State: optimized geometry

extended XYZ file:
```
8
Lattice="4.069 0.000 0.000 0.000 4.175 0.000 -2.034 0.000 9.187" Properties=species:S:1:pos:R:3 pbc="T T T"
Pr 0.000 1.044 7.175
Pr 2.034 3.131 2.012
P 0.000 1.044 3.210
P 2.034 3.131 5.977
Pd 2.034 1.044 4.561
Pd 0.000 3.131 4.627
Pd 0.000 1.044 0.846
Pd 2.034 3.131 8.341
```

Calculated values
E_tot = -6.0665 eV per atom
ΔE_f = -3.69 eV/f.u.
SG = Cmcm, No. 63
Calculated volume = 19.509 Å³ per atom



4.
Material: PrPPd2
Method: DFT, PBE
State: optimized geometry

extended XYZ file:
```
16
Lattice="4.241 0.000 0.000 -2.121 8.137 0.000 0.000 0.000 8.932" Properties=species:S:1:pos:R:3 pbc="T T T"
Pr 2.121 0.000 4.466
Pr 2.121 0.000 0.000
Pr 2.121 3.275 2.233
Pr 0.000 4.862 6.699
P 2.121 5.865 4.555
P 0.000 2.272 0.089
P 2.121 5.865 8.843
P 0.000 2.272 4.377
Pd 0.000 1.668 6.699
Pd 0.000 1.078 2.233
Pd 2.121 6.469 2.233
Pd 2.121 7.059 6.699
Pd 0.000 4.868 3.792
Pd 2.121 3.269 5.140
Pd 2.121 3.269 8.258
Pd 0.000 4.868 0.674
```

Calculated values
E_tot = -6.0541 eV per atom
ΔE_f = -3.64 eV/f.u.
SG = Cmcm, No. 63
Calculated volume = 19.266 Å³ per atom



5.
Material: Pr3P4Pd7
Method: DFT, PBE
State: optimized geometry

extended XYZ file:
```
14
Lattice="3.968 0.000 1.001 1.452 7.583 2.611 0.009 0.023 8.332" Properties=species:S:1:pos:R:3 pbc="T T T"
Pr 1.535 1.393 2.281
Pr 3.894 6.213 9.663
Pr 0.730 3.803 5.471
P 3.263 3.351 3.797
P 2.166 4.255 8.147
P 4.846 6.764 5.887
P 0.582 0.842 6.057
Pd 2.466 6.530 6.956
Pd 2.299 1.811 7.617
Pd 3.920 3.160 9.560
Pd 2.963 1.076 4.988
Pd 1.509 4.446 2.384
Pd 0.000 0.000 0.000
Pd 3.129 5.794 4.327
```

Calculated values
E_tot = -6.1121 eV per atom
ΔE_f = -13.24 eV/f.u.
SG = C2/m, No. 12
Calculated volume = 17.890 Å³ per atom



6.
Material: PrP2Pd6
Method: DFT, PBE
State: optimized geometry

extended XYZ file:
```
9
Lattice="-1.416 -0.996 -3.750 -3.570 -1.230 1.675 -3.191 8.006 -0.921" Properties=species:S:1:pos:R:3 pbc="T T T"
Pr 0.000 0.000 0.000
P -2.911 -0.065 -1.158
P -5.267 5.844 -1.838
Pd -2.662 1.585 0.584
Pd -1.585 1.702 -2.128
Pd -4.099 5.190 0.170
Pd -3.022 5.307 -2.543
Pd -4.089 2.889 -1.498
Pd -1.596 4.003 -0.461
```

Calculated values
E_tot = -5.8110 eV per atom
ΔE_f = -5.54 eV/f.u.
Polymorph energy (0 for the lowest one) = 0 meV per atom
SG = P4/mmm, No. 123
Calculated volume = 16.433 Å³ per atom



Density of states at the Fermi level: 2.17, 3.83, 5.40, 8.22, 8.55, 6.52 (states/eV/cell)